No. 1
VASP calculation (PBE-GGA) on an optimized crystal structure of Tb3Pm5In.

Summary:
total magnetization	0.00	μB/f.u.
total energy	-4.120	eV per atom
crystal system	monoclinic
ΔH_f (0 K)	3.3	eV per formula unit

Cell: 7.9232 7.9232 11.5186 Å, 84.91 84.91 60.58°
Element x y z (fractional)
1 Pm 0.9107 0.3397 0.2457
2 Pm 0.4911 0.4911 0.3722
3 Pm 0.3397 0.9107 0.2457
4 Pm 0.3307 0.6693 0.0000
5 Pm 0.7617 0.7617 0.0366
6 Pm 0.2383 0.2383 0.9634
7 Pm 0.6603 0.0893 0.7543
8 Pm 0.6693 0.3307 0.0000
9 Pm 0.5089 0.5089 0.6278
10 Pm 0.0893 0.6603 0.7543
11 Tb 0.0000 0.0000 0.5000
12 Tb 0.7420 0.7420 0.4742
13 Tb 0.6677 0.6677 0.7830
14 Tb 0.0000 0.0000 0.0000
15 Tb 0.3323 0.3323 0.2170
16 Tb 0.2580 0.2580 0.5258
17 In 0.9040 0.9040 0.2575
18 In 0.0960 0.0960 0.7425


No. 2
VASP calculation (PBE-GGA) on an optimized crystal structure of Tb5Pm3In2.

Summary:
total magnetization	0.00	μB/f.u.
total energy	-4.232	eV per atom
crystal system	orthorhombic
ΔH_f (0 K)	0.6	eV per formula unit

Cell: 6.4508 10.6295 10.6295 Å, 94.59 72.34 72.34°
Element x y z (fractional)
1 Tb 0.2500 0.5000 0.5000
2 Tb 0.5021 0.7479 0.7479
3 Tb 0.7500 0.5000 0.5000
4 Tb 0.8754 0.4616 0.7876
5 Tb 0.4979 0.2521 0.2521
6 Tb 0.3754 0.7876 0.4616
7 Tb 0.1246 0.5384 0.2124
8 Tb 0.6246 0.2124 0.5384
9 Tb 0.9979 0.2521 0.2521
10 Tb 0.0021 0.7479 0.7479
11 Pm 0.8843 0.8770 0.3544
12 Pm 0.6157 0.6456 0.1230
13 Pm 0.2500 0.0000 0.0000
14 Pm 0.3843 0.3544 0.8770
15 Pm 0.7500 0.0000 0.0000
16 Pm 0.1157 0.1230 0.6456
17 In 0.3645 0.9887 0.2823
18 In 0.8645 0.2823 0.9887
19 In 0.1355 0.7177 0.0113
20 In 0.6355 0.0113 0.7177


Q: total energy of number 2 (Tb5Pm3In2)?
A: -4.232 eV per atom


Q: Which of these has the lowest total energy?
A: Tb5Pm3In2


Q: total energy of number 1 (Tb3Pm5In)?
A: -4.120 eV per atom


Q: Look up the total magnetization of the second one.
A: 0.00 μB/f.u.